1.
A relaxed Y2CdPt crystal, computed with PBE.

The value obtained for the formation energy is -0.540 eV per atom. Its density of states at the Fermi level is 0.93 states/eV/atom. As for the symmetry: No. 119.

Cell and atoms, written as POSCAR:
```
Y2CdPt
1.0
-5.724 1.171 0.394
-3.518 -4.359 1.707
4.993 2.433 1.857
Cd Pt Y
1 1 2
Direct
0.500 0.500 0.000
0.750 0.250 0.500
0.000 0.000 0.000
0.250 0.750 0.500
```


2.
A relaxed SrMgCl2 crystal, computed with PBE.

Its density of states at the Fermi level is 0.23 states/eV/atom. As for the symmetry: No. 47. As for the energy above the most stable polymorph in this dataset: 272.6 meV/atom.

Cell and atoms, written as POSCAR:
```
SrMgCl2
1.0
4.350 0.000 0.000
0.000 5.814 0.000
0.000 0.000 4.348
Cl Mg Sr
2 1 1
Direct
0.000 0.000 0.000
0.500 0.500 0.000
0.500 0.000 0.500
0.000 0.500 0.500
```


3.
A relaxed CdCuW crystal, computed with PBE.

The value obtained for the formation energy is 1.452 eV per atom. Its density of states at the Fermi level is 1.09 states/eV/atom. As for the symmetry: No. 216. As for the energy above the most stable polymorph in this dataset: 1064.2 meV/atom.

Cell and atoms, written as POSCAR:
```
CdCuW
1.0
4.373 0.000 0.000
2.187 3.788 0.000
2.187 1.263 3.571
Cd Cu W
1 1 1
Direct
0.000 0.000 0.000
0.500 0.500 0.500
0.250 0.250 0.250
```


4.
A relaxed YCr2Hg crystal, computed with PBE.

The value obtained for the formation energy is 0.394 eV per atom. Its density of states at the Fermi level is 0.49 states/eV/atom. As for the symmetry: No. 47. As for the energy above the most stable polymorph in this dataset: 223.0 meV/atom.

Cell and atoms, written as POSCAR:
```
YCr2Hg
1.0
-3.621 2.315 0.741
-0.506 -2.028 3.861
2.297 2.992 1.873
Cr Hg Y
2 1 1
Direct
0.000 0.000 0.000
0.500 0.500 0.000
0.500 0.000 0.500
0.000 0.500 0.500
```


Copy entry 2 word for word.
A relaxed SrMgCl2 crystal, computed with PBE.

Its density of states at the Fermi level is 0.23 states/eV/atom. As for the symmetry: No. 47. As for the energy above the most stable polymorph in this dataset: 272.6 meV/atom.

Cell and atoms, written as POSCAR:
```
SrMgCl2
1.0
4.350 0.000 0.000
0.000 5.814 0.000
0.000 0.000 4.348
Cl Mg Sr
2 1 1
Direct
0.000 0.000 0.000
0.500 0.500 0.000
0.500 0.000 0.500
0.000 0.500 0.500
```